Record 1
Material: Nd5Bi2
Method: DFT, GGA-PBE
State: optimized geometry

The size of the total moment comes out at 0.0 μB/f.u. The formation energy from the elements is -481 meV/atom. The volume comes out at 33.5 Å³/atom.

The structure belongs to space group C2/c (No. 15); the cell edges are 16.505, 6.399 and 8.931 Å and the angles 90.00°, 95.22° and 90.00°. The distinct sites, in fractional coordinates, are Nd at (0.000, 0.188, 0.250), Nd at (0.107, 0.341, 0.940), Nd at (0.226, 0.096, 0.314) and Bi at (0.097, 0.182, 0.584).


Record 2
Material: NdBi2
Method: DFT, GGA-PBE
State: optimized geometry

The size of the total moment comes out at 0.0 μB/f.u. The formation energy from the elements is -314 meV/atom. The volume comes out at 36.8 Å³/atom.

The structure belongs to space group R-3m (No. 166, hexagonal axes); the cell edges are 5.3287, 5.3287 and 26.9325 Å and the angles 90.00°, 90.00° and 120.00°. The distinct sites, in fractional coordinates, are Nd at (0.0000, 0.0000, 0.0659), Bi at (0.0000, 0.0000, 0.1863) and Bi at (0.0000, 0.0000, 0.3419).


Record 3
Material: NdBi3
Method: DFT, GGA-PBE
State: optimized geometry

The size of the total moment comes out at 0.0 μB/f.u. The formation energy from the elements is -417 meV/atom. The volume comes out at 34.9 Å³/atom.

The structure belongs to space group Pmm2 (No. 25); the cell edges are 4.583, 6.371 and 4.780 Å and the angles 90.00°, 90.00° and 90.00°. The distinct sites, in fractional coordinates, are Nd at (0.000, 0.000, 0.000), Bi at (0.000, 0.500, 0.817), Bi at (0.500, 0.000, 0.484) and Bi at (0.500, 0.500, 0.256).


Record 4
Material: NdBi2
Method: DFT, GGA-PBE
State: optimized geometry

The size of the total moment comes out at 0.0 μB/f.u. The formation energy from the elements is -548 meV/atom. The volume comes out at 31.6 Å³/atom.

The structure belongs to space group C2/m (No. 12); the cell edges are 6.005, 5.994 and 6.050 Å and the angles 90.00°, 119.62° and 90.00°. The distinct sites, in fractional coordinates, are Nd at (0.000, 0.000, 0.000) and Bi at (0.153, 0.500, 0.306).


Record 5
Material: Nd3Bi
Method: DFT, GGA-PBE
State: optimized geometry

The size of the total moment comes out at 0.0 μB/f.u. The formation energy from the elements is -435 meV/atom. Its offset from the most stable computed form is 0.00 kJ per mole of atoms. The volume comes out at 31.3 Å³/atom.

The structure belongs to space group Pm-3m (No. 221); the cell edges are 5.004, 5.004 and 5.004 Å and the angles 90.00°, 90.00° and 90.00°. The distinct sites, in fractional coordinates, are Nd at (0.000, 0.000, 0.500) and Bi at (0.500, 0.500, 0.500).


Record 6
Material: NdBi4
Method: DFT, GGA-PBE
State: optimized geometry

The size of the total moment comes out at 0.0 μB/f.u. The formation energy from the elements is -226 meV/atom. Its offset from the most stable computed form is 0.00 kJ per mole of atoms. The volume comes out at 35.0 Å³/atom.

The structure belongs to space group P2_1/c (No. 14); the cell edges are 4.414, 7.316 and 10.833 Å and the angles 90.00°, 90.06° and 90.00°. The distinct sites, in fractional coordinates, are Nd at (0.000, 0.000, 0.000), Bi at (0.003, 0.162, 0.285) and Bi at (0.499, 0.682, 0.902).